# EuZrCu4

EuZrCu4 after structural relaxation (PBE-GGA, Alexandria via LeMat-Bulk).

Cell and atoms, written as CIF:
```
data_EuZrCu4
_cell_length_a 7.362
_cell_length_b 7.362
_cell_length_c 7.362
_cell_angle_alpha 90.00
_cell_angle_beta 90.00
_cell_angle_gamma 90.00
_symmetry_space_group_name_H-M 'F -4 3 m'
_symmetry_Int_Tables_number 216
_symmetry_space_group_name_Hall 'F -4 2 3'
loop_
_atom_site_label
_atom_site_type_symbol
_atom_site_fract_x
_atom_site_fract_y
_atom_site_fract_z
Eu1 Eu 0.000 0.000 0.000
Zr1 Zr 0.250 0.250 0.750
Cu1 Cu 0.124 0.124 0.376
```

ΔH_f (0 K) (eV per atom): 0.024
Mass density (Mg/m³): 8.3
Total DFT energy (no corrections) (eV for the cell shown): -140.2

=====

# ZrTi3

ZrTi3 after structural relaxation (PBE-GGA, Alexandria via LeMat-Bulk).

Cell and atoms, written as CIF:
```
data_ZrTi3
_cell_length_a 3.432
_cell_length_b 3.432
_cell_length_c 6.343
_cell_angle_alpha 90.00
_cell_angle_beta 90.00
_cell_angle_gamma 90.00
_symmetry_space_group_name_H-M 'P 4/m m m'
_symmetry_Int_Tables_number 123
_symmetry_space_group_name_Hall '-P 4 2'
loop_
_atom_site_label
_atom_site_type_symbol
_atom_site_fract_x
_atom_site_fract_y
_atom_site_fract_z
Zr1 Zr 0.000 0.000 0.000
Ti1 Ti 0.000 0.000 0.500
Ti2 Ti 0.500 0.500 0.285
```

ΔH_f (0 K) (eV per atom): 0.073
Mass density (Mg/m³): 5.2
Total DFT energy (no corrections) (eV for the cell shown): -31.9

=====

# Dy2InPb5

Dy2InPb5 after structural relaxation (PBE-GGA, Alexandria via LeMat-Bulk).

Cell and atoms, written as CIF:
```
data_Dy2InPb5
_cell_length_a 6.798
_cell_length_b 13.618
_cell_length_c 4.892
_cell_angle_alpha 90.00
_cell_angle_beta 90.00
_cell_angle_gamma 90.00
_symmetry_space_group_name_H-M 'P b a m'
_symmetry_Int_Tables_number 55
loop_
_symmetry_equiv_pos_as_xyz
'x,y,z'
'-x,-y,-z'
'-x,-y,z'
'x,y,-z'
'x+1/2,-y+1/2,-z'
'-x+1/2,y+1/2,z'
'-x+1/2,y+1/2,-z'
'x+1/2,-y+1/2,z'
loop_
_atom_site_label
_atom_site_type_symbol
_atom_site_fract_x
_atom_site_fract_y
_atom_site_fract_z
Dy1 Dy 0.240 0.127 0.000
In1 In 0.000 0.500 0.500
Pb1 Pb 0.000 0.000 0.500
Pb2 Pb 0.008 0.747 0.500
Pb3 Pb 0.240 0.378 0.000
```

ΔH_f (0 K) (eV per atom): -0.299
Mass density (Mg/m³): 10.8
Total DFT energy (no corrections) (eV for the cell shown): -65.7

=====

# PmThScPa

PmThScPa after structural relaxation (PBE-GGA, Alexandria via LeMat-Bulk).

Cell and atoms, written as CIF:
```
data_PmThScPa
_cell_length_a 7.717
_cell_length_b 7.717
_cell_length_c 7.717
_cell_angle_alpha 90.00
_cell_angle_beta 90.00
_cell_angle_gamma 90.00
_symmetry_space_group_name_H-M 'F -4 3 m'
_symmetry_Int_Tables_number 216
_symmetry_space_group_name_Hall 'F -4 2 3'
loop_
_atom_site_label
_atom_site_type_symbol
_atom_site_fract_x
_atom_site_fract_y
_atom_site_fract_z
Pm1 Pm 0.000 0.000 0.000
Th1 Th 0.000 0.000 0.500
Sc1 Sc 0.250 0.250 0.250
Pa1 Pa 0.250 0.250 0.750
```

ΔH_f (0 K) (eV per atom): 0.314
Mass density (Mg/m³): 9.4
Total DFT energy (no corrections) (eV for the cell shown): -107.0

=====

Which formula does entry 4 have?
PmThScPa

=====

Please write out number 4 again, unchanged.
# PmThScPa

PmThScPa after structural relaxation (PBE-GGA, Alexandria via LeMat-Bulk).

Cell and atoms, written as CIF:
```
data_PmThScPa
_cell_length_a 7.717
_cell_length_b 7.717
_cell_length_c 7.717
_cell_angle_alpha 90.00
_cell_angle_beta 90.00
_cell_angle_gamma 90.00
_symmetry_space_group_name_H-M 'F -4 3 m'
_symmetry_Int_Tables_number 216
_symmetry_space_group_name_Hall 'F -4 2 3'
loop_
_atom_site_label
_atom_site_type_symbol
_atom_site_fract_x
_atom_site_fract_y
_atom_site_fract_z
Pm1 Pm 0.000 0.000 0.000
Th1 Th 0.000 0.000 0.500
Sc1 Sc 0.250 0.250 0.250
Pa1 Pa 0.250 0.250 0.750
```

ΔH_f (0 K) (eV per atom): 0.314
Mass density (Mg/m³): 9.4
Total DFT energy (no corrections) (eV for the cell shown): -107.0